1.
# NaAg5Cl12, optimized geometry, DFT PBE-GGA
# V = 514.0 Å³/cell
# ΔE_f (raw) = -0.456 eV per atom
data_NaAg5Cl12
_cell_length_a 6.728
_cell_length_b 6.733
_cell_length_c 12.210
_cell_angle_alpha 86.30
_cell_angle_beta 81.21
_cell_angle_gamma 70.15
_space_group_name_H-M_alt 'P -1'
_space_group_IT_number 2
loop_
_space_group_symop_operation_xyz
'x,y,z'
'-x,-y,-z'
loop_
_atom_site_label
_atom_site_fract_x
_atom_site_fract_y
_atom_site_fract_z
_atom_site_occupancy
Na1 0.000 0.000 0.000 1
Ag1 0.165 0.667 0.502 1
Ag2 0.332 0.332 0.000 1
Ag3 0.500 0.000 0.500 1
Cl1 0.098 0.314 0.877 1
Cl2 0.148 0.390 0.383 1
Cl3 0.187 0.945 0.619 1
Cl4 0.278 0.061 0.123 1
Cl5 0.412 0.621 0.890 1
Cl6 0.476 0.723 0.383 1

***

2.
# NaAg4Cl5, optimized geometry, DFT PBE-GGA
# V = 562.1 Å³/cell
# Offset from the most stable computed form = 0 meV/atom
# ΔE_f (raw) = -0.703 eV per atom
data_NaAg4Cl5
_cell_length_a 4.3429
_cell_length_b 4.3429
_cell_length_c 34.4107
_cell_angle_alpha 90.00
_cell_angle_beta 90.00
_cell_angle_gamma 120.00
_space_group_name_H-M_alt 'P 3 m 1'
_space_group_IT_number 156
loop_
_space_group_symop_operation_xyz
'x,y,z'
'-y,x-y,z'
'-x+y,-x,z'
'-y,-x,z'
'-x+y,y,z'
'x,x-y,z'
loop_
_atom_site_label
_atom_site_fract_x
_atom_site_fract_y
_atom_site_fract_z
_atom_site_occupancy
Na1 0.0000 0.0000 0.0000 1
Na2 0.0000 0.0000 0.2024 1
Ag1 0.0000 0.0000 0.4030 1
Ag2 0.0000 0.0000 0.6012 1
Ag3 0.0000 0.0000 0.7994 1
Ag4 0.3333 0.6667 0.1003 1
Ag5 0.3333 0.6667 0.3031 1
Ag6 0.3333 0.6667 0.5022 1
Ag7 0.3333 0.6667 0.7003 1
Ag8 0.3333 0.6667 0.8987 1
Cl1 0.0000 0.0000 0.1236 1
Cl2 0.0000 0.0000 0.3263 1
Cl3 0.0000 0.0000 0.5242 1
Cl4 0.0000 0.0000 0.7223 1
Cl5 0.0000 0.0000 0.9208 1
Cl6 0.3333 0.6667 0.0242 1
Cl7 0.3333 0.6667 0.2272 1
Cl8 0.3333 0.6667 0.4253 1
Cl9 0.3333 0.6667 0.6232 1
Cl10 0.3333 0.6667 0.8216 1

***

3.
# NaAg6Cl12, optimized geometry, DFT PBE-GGA
# V = 1498.8 Å³/cell
# ΔE_f (raw) = -0.504 eV per atom
data_NaAg6Cl12
_cell_length_a 14.3248
_cell_length_b 14.3248
_cell_length_c 8.4342
_cell_angle_alpha 90.00
_cell_angle_beta 90.00
_cell_angle_gamma 120.00
_space_group_name_H-M_alt 'R -3'
_space_group_IT_number 148
_space_group_name_Hall '-R 3'
loop_
_atom_site_label
_atom_site_fract_x
_atom_site_fract_y
_atom_site_fract_z
_atom_site_occupancy
Na1 0.0000 0.0000 0.0000 1
Ag1 0.0055 0.5038 0.7543 1
Cl1 0.0239 0.8018 0.3941 1
Cl2 0.0280 0.8196 0.8838 1

***

4.
# Na2Ag3Cl5, optimized geometry, DFT PBE-GGA
# V = 466.1 Å³/cell
# ΔE_f (raw) = -0.940 eV per atom
data_Na2Ag3Cl5
_cell_length_a 14.059
_cell_length_b 3.905
_cell_length_c 10.141
_cell_angle_alpha 90.00
_cell_angle_beta 123.15
_cell_angle_gamma 90.00
_space_group_name_H-M_alt 'C 1 2/m 1'
_space_group_IT_number 12
loop_
_space_group_symop_operation_xyz
'x,y,z'
'-x,-y,-z'
'-x,y,-z'
'x,-y,z'
'x+1/2,y+1/2,z'
'-x+1/2,-y+1/2,-z'
'-x+1/2,y+1/2,-z'
'x+1/2,-y+1/2,z'
loop_
_atom_site_label
_atom_site_fract_x
_atom_site_fract_y
_atom_site_fract_z
_atom_site_occupancy
Na1 0.171 0.000 0.271 1
Ag1 0.000 0.000 0.500 1
Ag2 0.106 0.500 0.860 1
Cl1 0.000 0.500 0.000 1
Cl2 0.108 0.500 0.420 1
Cl3 0.201 0.000 0.796 1

***

5.
# NaAg4Cl5, optimized geometry, DFT PBE-GGA
# V = 442.6 Å³/cell
# Offset from the most stable computed form = 7 meV/atom
# ΔE_f (raw) = -0.696 eV per atom
data_NaAg4Cl5
_cell_length_a 3.965
_cell_length_b 3.965
_cell_length_c 28.152
_cell_angle_alpha 90.00
_cell_angle_beta 90.00
_cell_angle_gamma 90.00
_space_group_name_H-M_alt 'I 4/m m m'
_space_group_IT_number 139
_space_group_name_Hall '-I 4 2'
loop_
_atom_site_label
_atom_site_fract_x
_atom_site_fract_y
_atom_site_fract_z
_atom_site_occupancy
Na1 0.000 0.000 0.000 1
Ag1 0.000 0.000 0.201 1
Ag2 0.000 0.000 0.400 1
Cl1 0.000 0.000 0.101 1
Cl2 0.000 0.000 0.300 1
Cl3 0.000 0.000 0.500 1

***

6.
# Na3Ag2Cl6, optimized geometry, DFT PBE-GGA
# V = 794.8 Å³/cell
# Offset from the most stable computed form = 0 meV/atom
# ΔE_f (raw) = -1.126 eV per atom
data_Na3Ag2Cl6
_cell_length_a 4.0131
_cell_length_b 4.0131
_cell_length_c 56.9862
_cell_angle_alpha 90.00
_cell_angle_beta 90.00
_cell_angle_gamma 120.00
_space_group_name_H-M_alt 'R -3 m'
_space_group_IT_number 166
_space_group_name_Hall '-R 3 2"'
loop_
_atom_site_label
_atom_site_fract_x
_atom_site_fract_y
_atom_site_fract_z
_atom_site_occupancy
Na1 0.0000 0.0000 0.0000 1
Na2 0.0000 0.0000 0.2757 1
Ag1 0.0000 0.0000 0.4506 1
Cl1 0.0000 0.0000 0.0863 1
Cl2 0.0000 0.0000 0.1965 1
Cl3 0.0000 0.0000 0.3621 1